No. 1
Entry from Alexandria via LeMat-Bulk: Al8Ag at its PBEsol-relaxed geometry (SCAN).

Structure (POSCAR):
```
Al8Ag
1.0
3.977 0.000 0.000
1.988 6.065 0.000
1.988 0.000 6.065
Al Ag
8 1
Cartesian
1.988 0.000 2.015 Al
3.977 0.000 4.049 Al
3.977 2.020 2.020 Al
1.988 2.015 0.000 Al
1.988 2.020 4.045 Al
3.977 4.049 0.000 Al
3.977 4.045 4.045 Al
1.988 4.045 2.020 Al
0.000 0.000 0.000 Ag
```

Output
**Space group**: No. 139
**Total magnetic moment**: 0.02 Bohr magnetons per cell
**Calculated formation energy**: -0.054 eV/f.u.
**Total DFT energy (no corrections)**: -93.44 eV/cell
**N(E_F)**: 3.00 states/eV/f.u.

=====

No. 2
Entry from Alexandria via LeMat-Bulk: Al3Ag2 at its PBEsol-relaxed geometry (SCAN).

Structure (POSCAR):
```
Al3Ag2
1.0
-0.435 2.523 1.366
-5.937 -1.960 -1.351
1.124 -4.140 8.002
Al Ag
6 4
Cartesian
-4.443 -2.232 5.789 Al
-1.782 -2.780 4.567 Al
-3.431 -0.813 3.491 Al
-0.875 -1.392 2.291 Al
-4.668 -1.361 1.028 Al
-2.551 0.595 1.171 Al
-0.020 -0.052 0.090 Ag
-2.709 -4.133 6.769 Ag
-0.556 -2.178 6.926 Ag
-5.549 -2.733 3.281 Ag
```

Output
**Space group**: No. 8
**Total magnetic moment**: 0.00 Bohr magnetons per cell
**Calculated formation energy**: -0.317 eV/f.u.
**Total DFT energy (no corrections)**: -172.61 eV/cell
**N(E_F)**: 1.53 states/eV/f.u.

=====

No. 3
Entry from Alexandria via LeMat-Bulk: Al2Ag3 at its PBEsol-relaxed geometry (SCAN).

Structure (POSCAR):
```
Al2Ag3
1.0
-0.190 -4.168 -2.815
0.915 -4.790 2.531
-6.350 1.522 2.675
Al Ag
4 6
Cartesian
-0.287 -6.287 -0.834 Al
-5.386 -2.227 2.497 Al
-2.494 0.107 1.097 Al
-3.085 -6.536 1.973 Al
-1.298 -2.127 -0.465 Ag
-4.293 -4.570 3.355 Ag
-1.402 -4.571 0.911 Ag
-4.284 -4.210 0.571 Ag
-0.174 -3.829 -2.586 Ag
-2.749 -2.337 2.128 Ag
```

Output
**Space group**: No. 43
**Total magnetic moment**: 0.00 Bohr magnetons per cell
**Calculated formation energy**: -0.349 eV/f.u.
**Total DFT energy (no corrections)**: -219.91 eV/cell
**N(E_F)**: 1.31 states/eV/f.u.

=====

No. 4
Entry from Alexandria via LeMat-Bulk: Al3Ag at its PBEsol-relaxed geometry (SCAN).

Structure (POSCAR):
```
Al3Ag
1.0
2.857 0.000 0.000
0.000 2.857 0.000
0.000 0.000 7.931
Al Ag
3 1
Cartesian
1.429 1.429 1.948 Al
0.000 0.000 3.965 Al
1.429 1.429 5.982 Al
0.000 0.000 0.000 Ag
```

Output
**Space group**: No. 123
**Total magnetic moment**: 0.02 Bohr magnetons per cell
**Calculated formation energy**: -0.161 eV/f.u.
**Total DFT energy (no corrections)**: -54.78 eV/cell
**N(E_F)**: 1.31 states/eV/f.u.

=====

No. 5
Entry from Alexandria via LeMat-Bulk: Al5Ag3 at its PBEsol-relaxed geometry (SCAN).

Structure (POSCAR):
```
Al5Ag3
1.0
2.927 0.000 0.000
0.000 6.853 -0.017
0.000 -2.216 6.485
Al Ag
5 3
Cartesian
0.000 3.492 4.816 Al
1.463 5.691 0.816 Al
1.463 -1.120 5.699 Al
0.000 1.196 1.614 Al
1.463 1.176 4.053 Al
0.000 1.228 6.418 Ag
1.463 3.396 2.461 Ag
0.000 -1.048 3.244 Ag
```

Output
**Space group**: No. 38
**Total magnetic moment**: 0.00 Bohr magnetons per cell
**Calculated formation energy**: -0.429 eV/f.u.
**Total DFT energy (no corrections)**: -133.29 eV/cell
**N(E_F)**: 2.59 states/eV/f.u.

=====

No. 6
Entry from Alexandria via LeMat-Bulk: Al5Ag at its PBEsol-relaxed geometry (SCAN).

Structure (POSCAR):
```
Al5Ag
1.0
-2.442 -3.072 -2.547
-1.148 -2.493 4.108
-2.938 3.645 -1.580
Al Ag
5 1
Cartesian
-1.362 0.384 0.843 Al
-0.765 -1.662 2.739 Al
-1.959 2.430 -1.053 Al
-3.562 0.063 -0.957 Al
-2.966 -1.983 0.939 Al
-1.221 -1.536 -1.273 Ag
```

Output
**Space group**: No. 189
**Total magnetic moment**: 0.00 Bohr magnetons per cell
**Calculated formation energy**: 0.288 eV/f.u.
**Total DFT energy (no corrections)**: -69.84 eV/cell
**N(E_F)**: 3.00 states/eV/f.u.